1.
The following is a GGA-PBE calculation of LaZr2Mo after structural relaxation, from the Alexandria database.

It has space group Cmmm (No. 65), with a = 3.428 Å, b = 5.357 Å, c = 10.223 Å, α = 90.00°, β = 90.00° and γ = 90.00°. The asymmetric unit holds La at (0.000, 0.000, 0.000), Zr at (0.000, 0.500, 0.297) and Mo at (0.000, 0.000, 0.500).

The formation energy is 0.73 eV per formula unit. The calculated density comes out at 7.381 g cm⁻³. The value obtained for the energy above the most stable polymorph in this dataset is 96.4 meV/atom.



2.
The following is a GGA-PBE calculation of TmAl2Cu3 after structural relaxation, from the Alexandria database.

It has space group Cmcm (No. 63), with a = 9.579 Å, b = 7.582 Å, c = 5.365 Å, α = 90.00°, β = 90.00° and γ = 90.00°. The asymmetric unit holds Tm at (0.000, 0.167, 0.250), Al at (0.215, 0.500, 0.000), Cu at (0.000, 0.460, 0.750) and Cu at (0.145, 0.202, 0.750).

The formation energy is -1.87 eV per formula unit. The calculated density comes out at 7.050 g cm⁻³. The value obtained for the energy above the most stable polymorph in this dataset is 33.6 meV/atom.